Record 1
Material: Mg3MnMo
Method: DFT, GGA-PBE
State: optimized geometry

Cell lengths 4.845, 4.845, 4.845 Å; angles 90.00, 90.00, 90.00 degrees
Sites, in units of the cell vectors:
Mg 0.000 0.000 0.500
Mg 0.000 0.500 0.000
Mg 0.500 0.000 0.000
Mn 0.000 0.000 0.000
Mo 0.500 0.500 0.500

## Properties
As for the formation energy from the elements: 1.252 eV per atom. Its crystal system is cubic. The value obtained for the polymorph energy (0 for the lowest one) is 0 meV/atom. As for the space group: No. 221. The calculation puts the density of states at the Fermi level at 0.812 states/eV/atom.


Record 2
Material: LiLa2Re
Method: DFT, GGA-PBE
State: optimized geometry

Cell lengths 3.127, 3.127, 10.835 Å; angles 90.00, 90.00, 113.93 degrees
Sites, in units of the cell vectors:
Li 0.000 0.000 0.000
La 0.000 0.000 0.606
La 0.500 0.500 0.279
Re 0.500 0.500 0.809

## Properties
As for the formation energy from the elements: 0.587 eV per atom. Its crystal system is orthorhombic. As for the space group: No. 35. The calculation puts the density of states at the Fermi level at 1.003 states/eV/atom.